Record 1
## AcEuInAg (PBE-GGA)

Data for a relaxed AcEuInAg crystal.

Geometry as CIF:
```
data_AcEuInAg
_chemical_formula_sum 'Ac1 Eu1 In1 Ag1'
_cell_length_a 5.618
_cell_length_b 5.618
_cell_length_c 5.618
_cell_angle_alpha 60.00
_cell_angle_beta 60.00
_cell_angle_gamma 60.00
_symmetry_space_group_name_H-M 'P 1'
_symmetry_Int_Tables_number 1
_symmetry_space_group_name_Hall 'P 1'
loop_
_atom_site_label
_atom_site_type_symbol
_atom_site_fract_x
_atom_site_fract_y
_atom_site_fract_z
Eu1 Eu 0.000 0.000 0.000
Ac1 Ac 0.500 0.500 0.500
Ag1 Ag 0.250 0.250 0.250
In1 In 0.750 0.750 0.750
```

DOS(E_F)   2.919 states/eV/atom
Energy of formation from the pure elements   -0.36 eV per atom
SG   F-43m, No. 216

***

Record 2
## Fe2ReMo (PBE-GGA)

Data for a relaxed Fe2ReMo crystal.

Geometry as CIF:
```
data_Fe2ReMo
_chemical_formula_sum 'Fe2 Re1 Mo1'
_cell_length_a 3.104
_cell_length_b 4.189
_cell_length_c 4.221
_cell_angle_alpha 90.00
_cell_angle_beta 90.00
_cell_angle_gamma 90.00
_symmetry_space_group_name_H-M 'P 1'
_symmetry_Int_Tables_number 1
_symmetry_space_group_name_Hall 'P 1'
loop_
_atom_site_label
_atom_site_type_symbol
_atom_site_fract_x
_atom_site_fract_y
_atom_site_fract_z
Fe1 Fe 0.000 0.000 0.000
Fe2 Fe 0.500 0.500 0.000
Mo1 Mo 0.500 0.000 0.500
Re1 Re 0.000 0.500 0.500
```

DOS(E_F)   0.813 states/eV/atom
Energy of formation from the pure elements   0.12 eV per atom
SG   Pmmm, No. 47

***

Record 3
## RbU4Pd3S12 (PBE-GGA)

Data for a relaxed RbU4Pd3S12 crystal.

Geometry as CIF:
```
data_RbU4Pd3S12
_chemical_formula_sum 'Rb1 U4 Pd3 S12'
_cell_length_a 8.461
_cell_length_b 8.461
_cell_length_c 8.461
_cell_angle_alpha 109.47
_cell_angle_beta 109.47
_cell_angle_gamma 109.47
_symmetry_space_group_name_H-M 'P 1'
_symmetry_Int_Tables_number 1
_symmetry_space_group_name_Hall 'P 1'
loop_
_atom_site_label
_atom_site_type_symbol
_atom_site_fract_x
_atom_site_fract_y
_atom_site_fract_z
Rb1 Rb 0.000 0.000 0.000
U1 U 0.500 0.000 0.000
U2 U 0.500 0.500 0.500
U3 U 0.000 0.500 0.000
U4 U 0.000 0.000 0.500
Pd1 Pd 0.000 0.500 0.500
Pd2 Pd 0.500 0.500 0.000
Pd3 Pd 0.500 0.000 0.500
S1 S 0.317 0.834 0.152
S2 S 0.683 0.166 0.848
S3 S 0.683 0.834 0.517
S4 S 0.848 0.683 0.166
S5 S 0.834 0.152 0.317
S6 S 0.166 0.483 0.317
S7 S 0.483 0.317 0.166
S8 S 0.166 0.848 0.683
S9 S 0.317 0.166 0.483
S10 S 0.152 0.317 0.834
S11 S 0.834 0.517 0.683
S12 S 0.517 0.683 0.834
```

DOS(E_F)   1.095 states/eV/atom
Energy relative to the elements, uncorrected   -938 meV/atom
SG   Im-3, No. 204

***

Record 4
## Ca2Zn4Ga3Sn (PBE-GGA)

Data for a relaxed Ca2Zn4Ga3Sn crystal.

Geometry as CIF:
```
data_Ca2Zn4Ga3Sn
_chemical_formula_sum 'Ca2 Zn4 Ga3 Sn1'
_cell_length_a 4.307
_cell_length_b 4.307
_cell_length_c 11.100
_cell_angle_alpha 90.00
_cell_angle_beta 90.00
_cell_angle_gamma 90.00
_symmetry_space_group_name_H-M 'P 1'
_symmetry_Int_Tables_number 1
_symmetry_space_group_name_Hall 'P 1'
loop_
_atom_site_label
_atom_site_type_symbol
_atom_site_fract_x
_atom_site_fract_y
_atom_site_fract_z
Ca1 Ca 0.500 0.000 0.236
Ca2 Ca 0.000 0.500 0.764
Zn1 Zn 0.500 0.500 0.000
Zn2 Zn 0.000 0.000 0.000
Zn3 Zn 0.500 0.000 0.650
Zn4 Zn 0.000 0.500 0.350
Ga1 Ga 0.000 0.000 0.500
Ga2 Ga 0.500 0.000 0.871
Ga3 Ga 0.000 0.500 0.129
Sn1 Sn 0.500 0.500 0.500
```

DOS(E_F)   0.414 states/eV/atom
Energy of formation from the pure elements   -0.31 eV per atom
SG   P-4m2, No. 115

***

Record 5
## TbSmY2Ho5 (PBE-GGA)

Data for a relaxed TbSmY2Ho5 crystal.

Geometry as CIF:
```
data_TbSmY2Ho5
_chemical_formula_sum 'Tb2 Sm2 Y4 Ho10'
_cell_length_a 5.607
_cell_length_b 10.257
_cell_length_c 10.583
_cell_angle_alpha 90.00
_cell_angle_beta 90.00
_cell_angle_gamma 105.86
_symmetry_space_group_name_H-M 'P 1'
_symmetry_Int_Tables_number 1
_symmetry_space_group_name_Hall 'P 1'
loop_
_atom_site_label
_atom_site_type_symbol
_atom_site_fract_x
_atom_site_fract_y
_atom_site_fract_z
Tb1 Tb 0.799 0.597 0.511
Tb2 Tb 0.201 0.403 0.011
Sm1 Sm 0.584 0.168 0.955
Sm2 Sm 0.416 0.832 0.455
Y1 Y 0.886 0.773 0.820
Y2 Y 0.110 0.220 0.735
Y3 Y 0.114 0.227 0.320
Y4 Y 0.890 0.780 0.235
Ho1 Ho 0.391 0.782 0.023
Ho2 Ho 0.717 0.435 0.809
Ho3 Ho 0.479 0.958 0.737
Ho4 Ho 0.299 0.597 0.708
Ho5 Ho 0.981 0.962 0.526
Ho6 Ho 0.609 0.218 0.523
Ho7 Ho 0.283 0.565 0.309
Ho8 Ho 0.521 0.042 0.237
Ho9 Ho 0.701 0.403 0.208
Ho10 Ho 0.019 0.038 0.026
```

DOS(E_F)   1.619 states/eV/atom
Energy of formation from the pure elements   0.15 eV per atom
SG   Cmc2_1, No. 36

***

Record 6
## DyErMgZn (PBE-GGA)

Data for a relaxed DyErMgZn crystal.

Geometry as CIF:
```
data_DyErMgZn
_chemical_formula_sum 'Dy1 Er1 Mg1 Zn1'
_cell_length_a 3.559
_cell_length_b 3.559
_cell_length_c 7.834
_cell_angle_alpha 90.00
_cell_angle_beta 90.00
_cell_angle_gamma 90.00
_symmetry_space_group_name_H-M 'P 1'
_symmetry_Int_Tables_number 1
_symmetry_space_group_name_Hall 'P 1'
loop_
_atom_site_label
_atom_site_type_symbol
_atom_site_fract_x
_atom_site_fract_y
_atom_site_fract_z
Dy1 Dy 0.000 0.000 0.385
Er1 Er 0.000 0.000 0.828
Mg1 Mg 0.500 0.500 0.104
Zn1 Zn 0.500 0.500 0.611
```

Energy relative to the lowest polymorph listed for this composition   0 meV per atom
DOS(E_F)   1.120 states/eV/atom
Energy of formation from the pure elements   -0.21 eV per atom
SG   P4mm, No. 99

***

Record 7
## Ac2LaP3Pt12 (PBE-GGA)

Data for a relaxed Ac2LaP3Pt12 crystal.

Geometry as CIF:
```
data_Ac2LaP3Pt12
_chemical_formula_sum 'Ac2 La1 P3 Pt12'
_cell_length_a 7.969
_cell_length_b 7.969
_cell_length_c 7.969
_cell_angle_alpha 63.27
_cell_angle_beta 63.27
_cell_angle_gamma 63.27
_symmetry_space_group_name_H-M 'P 1'
_symmetry_Int_Tables_number 1
_symmetry_space_group_name_Hall 'P 1'
loop_
_atom_site_label
_atom_site_type_symbol
_atom_site_fract_x
_atom_site_fract_y
_atom_site_fract_z
Ac1 Ac 0.603 0.603 0.603
Ac2 Ac 0.397 0.397 0.397
La1 La 0.000 0.000 0.000
P1 P 0.500 0.000 0.000
P2 P 0.000 0.500 0.000
P3 P 0.000 0.000 0.500
Pt1 Pt 0.334 0.334 0.899
Pt2 Pt 0.862 0.862 0.409
Pt3 Pt 0.409 0.862 0.862
Pt4 Pt 0.899 0.334 0.334
Pt5 Pt 0.862 0.409 0.862
Pt6 Pt 0.334 0.899 0.334
Pt7 Pt 0.666 0.666 0.101
Pt8 Pt 0.138 0.138 0.591
Pt9 Pt 0.591 0.138 0.138
Pt10 Pt 0.101 0.666 0.666
Pt11 Pt 0.138 0.591 0.138
Pt12 Pt 0.666 0.101 0.666
```

DOS(E_F)   0.392 states/eV/atom
Energy of formation from the pure elements   -0.50 eV per atom
SG   R-3m, No. 166

***

Record 8
## Be3ReRu (PBE-GGA)

Data for a relaxed Be3ReRu crystal.

Geometry as CIF:
```
data_Be3ReRu
_chemical_formula_sum 'Be3 Re1 Ru1'
_cell_length_a 3.983
_cell_length_b 3.983
_cell_length_c 3.983
_cell_angle_alpha 90.00
_cell_angle_beta 90.00
_cell_angle_gamma 90.00
_symmetry_space_group_name_H-M 'P 1'
_symmetry_Int_Tables_number 1
_symmetry_space_group_name_Hall 'P 1'
loop_
_atom_site_label
_atom_site_type_symbol
_atom_site_fract_x
_atom_site_fract_y
_atom_site_fract_z
Re1 Re 0.500 0.500 0.500
Be1 Be 0.000 0.500 0.000
Be2 Be 0.000 0.000 0.500
Be3 Be 0.500 0.000 0.000
Ru1 Ru 0.000 0.000 0.000
```

Energy relative to the lowest polymorph listed for this composition   0 meV per atom
DOS(E_F)   0.461 states/eV/atom
Energy of formation from the pure elements   0.98 eV per atom
SG   Pm-3m, No. 221

***

Record 9
## Y2PdPb2 (PBE-GGA)

Data for a relaxed Y2PdPb2 crystal.

Geometry as CIF:
```
data_Y2PdPb2
_chemical_formula_sum 'Y4 Pd2 Pb4'
_cell_length_a 7.401
_cell_length_b 7.401
_cell_length_c 4.753
_cell_angle_alpha 90.00
_cell_angle_beta 90.00
_cell_angle_gamma 90.00
_symmetry_space_group_name_H-M 'P 1'
_symmetry_Int_Tables_number 1
_symmetry_space_group_name_Hall 'P 1'
loop_
_atom_site_label
_atom_site_type_symbol
_atom_site_fract_x
_atom_site_fract_y
_atom_site_fract_z
Pb1 Pb 0.353 0.853 0.000
Pb2 Pb 0.853 0.647 0.000
Pb3 Pb 0.647 0.147 0.000
Pb4 Pb 0.147 0.353 0.000
Y1 Y 0.167 0.667 0.500
Y2 Y 0.667 0.833 0.500
Y3 Y 0.833 0.333 0.500
Y4 Y 0.333 0.167 0.500
Pd1 Pd 0.000 0.000 0.000
Pd2 Pd 0.500 0.500 0.000
```

Energy relative to the lowest polymorph listed for this composition   0 meV per atom
DOS(E_F)   0.432 states/eV/atom
Energy of formation from the pure elements   -0.51 eV per atom
SG   P4/mbm, No. 127

***

Record 10
## UCuBiO5 (PBE-GGA)

Data for a relaxed UCuBiO5 crystal.

Geometry as CIF:
```
data_UCuBiO5
_chemical_formula_sum 'U2 Cu2 Bi2 O10'
_cell_length_a 5.994
_cell_length_b 5.994
_cell_length_c 8.152
_cell_angle_alpha 106.99
_cell_angle_beta 106.99
_cell_angle_gamma 106.31
_symmetry_space_group_name_H-M 'P 1'
_symmetry_Int_Tables_number 1
_symmetry_space_group_name_Hall 'P 1'
loop_
_atom_site_label
_atom_site_type_symbol
_atom_site_fract_x
_atom_site_fract_y
_atom_site_fract_z
U1 U 0.000 0.000 0.500
U2 U 0.000 0.000 0.000
Cu1 Cu 0.726 0.274 0.250
Cu2 Cu 0.274 0.726 0.750
Bi1 Bi 0.313 0.687 0.250
Bi2 Bi 0.687 0.313 0.750
O1 O 0.079 0.921 0.250
O2 O 0.921 0.079 0.750
O3 O 0.885 0.326 0.082
O4 O 0.115 0.674 0.918
O5 O 0.674 0.115 0.418
O6 O 0.326 0.885 0.582
O7 O 0.746 0.657 0.393
O8 O 0.254 0.343 0.607
O9 O 0.343 0.254 0.107
O10 O 0.657 0.746 0.893
```

Energy relative to the elements, uncorrected   -1934 meV/atom
SG   C2/c, No. 15

***

Record 11
## KSc2Os (PBE-GGA)

Data for a relaxed KSc2Os crystal.

Geometry as CIF:
```
data_KSc2Os
_chemical_formula_sum 'K1 Sc2 Os1'
_cell_length_a 4.902
_cell_length_b 4.902
_cell_length_c 4.902
_cell_angle_alpha 60.00
_cell_angle_beta 60.00
_cell_angle_gamma 60.00
_symmetry_space_group_name_H-M 'P 1'
_symmetry_Int_Tables_number 1
_symmetry_space_group_name_Hall 'P 1'
loop_
_atom_site_label
_atom_site_type_symbol
_atom_site_fract_x
_atom_site_fract_y
_atom_site_fract_z
Sc1 Sc 0.250 0.250 0.250
Sc2 Sc 0.750 0.750 0.750
K1 K 0.000 0.000 0.000
Os1 Os 0.500 0.500 0.500
```

Energy relative to the lowest polymorph listed for this composition   565 meV per atom
DOS(E_F)   1.277 states/eV/atom
Energy of formation from the pure elements   0.48 eV per atom
SG   Fm-3m, No. 225

***

Record 12
## PmHo2Th2 (PBE-GGA)

Data for a relaxed PmHo2Th2 crystal.

Geometry as CIF:
```
data_PmHo2Th2
_chemical_formula_sum 'Pm1 Ho2 Th2'
_cell_length_a 3.567
_cell_length_b 3.567
_cell_length_c 14.628
_cell_angle_alpha 90.00
_cell_angle_beta 90.00
_cell_angle_gamma 120.00
_symmetry_space_group_name_H-M 'P 1'
_symmetry_Int_Tables_number 1
_symmetry_space_group_name_Hall 'P 1'
loop_
_atom_site_label
_atom_site_type_symbol
_atom_site_fract_x
_atom_site_fract_y
_atom_site_fract_z
Pm1 Pm 0.000 0.000 0.500
Ho1 Ho 0.667 0.333 0.700
Ho2 Ho 0.333 0.667 0.300
Th1 Th 0.333 0.667 0.901
Th2 Th 0.667 0.333 0.099
```

Energy relative to the lowest polymorph listed for this composition   17 meV per atom
DOS(E_F)   1.342 states/eV/atom
Energy of formation from the pure elements   0.03 eV per atom
SG   P-3m1, No. 164

***

| no. | M_tot (μB/atom) |
| --- | --- |
| 1 | 1.756 |
| 2 | 1.178 |
| 3 | 0.354 |
| 4 | 0.000 |
| 5 | 0.000 |
| 6 | 0.000 |
| 7 | 0.000 |
| 8 | 0.328 |
| 9 | 0.000 |
| 10 | 0.000 |
| 11 | 0.000 |
| 12 | 0.000 |